1.
VASP calculation (GGA-PBE) on Th6GeOs2S3 after structural relaxation.

Structure (POSCAR):
```
Th6GeOs2S3
1.0
-3.273 -5.383 3.468
5.146 3.786 3.302
-5.390 4.951 0.112
S Th Ge Os
3 6 1 2
Cartesian
-4.637 -1.458 3.498 S
1.120 4.812 3.384 S
-1.759 1.677 3.441 S
0.670 2.362 1.716 Th
0.101 -0.002 4.960 Th
-1.253 4.189 5.108 Th
-3.618 3.357 1.922 Th
-2.265 -0.834 1.774 Th
-4.187 0.993 5.166 Th
0.000 0.000 0.000 Ge
2.350 0.741 3.357 Os
-0.477 -2.338 3.413 Os
```

## Properties
formation energy (no corrections)	-1125	meV/atom
space-group type	C2/m (12)



2.
VASP calculation (GGA-PBE) on LiPb8Au2 after structural relaxation.

Structure (POSCAR):
```
LiPb8Au2
1.0
-2.870 4.069 -2.407
-7.552 -0.647 3.062
-1.332 5.447 5.949
Pb Au Li
8 2 1
Cartesian
-7.334 4.258 0.661 Pb
-4.708 6.830 1.880 Pb
-4.649 3.517 2.592 Pb
-7.106 5.352 4.013 Pb
-9.347 6.446 6.533 Pb
-2.408 2.423 0.073 Pb
-7.047 2.039 4.726 Pb
-4.421 4.612 5.944 Pb
-7.346 4.277 6.798 Au
-4.409 4.592 -0.193 Au
0.000 0.000 0.000 Li
```

## Properties
space-group type	C2/m (12)
formation energy	-0.002	eV/atom



3.
VASP calculation (GGA-PBE) on SmGa4CoRu2 after structural relaxation.

Structure (POSCAR):
```
SmGa4CoRu2
1.0
4.220 0.000 0.000
2.110 3.654 0.000
2.110 1.218 8.530
Ru Ga Sm Co
2 4 1 1
Cartesian
6.329 3.654 5.992 Ru
2.110 1.218 2.538 Ru
6.329 3.654 3.402 Ga
2.110 1.218 5.128 Ga
4.220 2.436 6.730 Ga
4.220 2.436 1.800 Ga
0.000 0.000 0.000 Sm
4.220 2.436 4.265 Co
```

## Properties
space-group type	R-3m (166)
formation energy	-0.395	eV/atom



4.
VASP calculation (GGA-PBE) on La6PSe2Cl3 after structural relaxation.

Structure (POSCAR):
```
La6PSe2Cl3
1.0
-6.848 -0.772 2.633
2.205 -4.211 -5.642
3.725 -3.094 5.361
La Se Cl P
6 2 3 1
Cartesian
-2.635 -4.569 -0.985 La
-1.671 -1.366 1.885 La
-2.152 -5.608 3.122 La
0.753 -6.711 0.467 La
1.233 -2.470 -0.770 La
1.717 -3.509 3.337 La
-3.810 -1.926 -0.144 Se
-0.833 -3.057 -2.864 Se
-3.422 -2.913 3.885 Cl
2.504 -5.164 -1.532 Cl
-0.459 -4.039 1.176 Cl
0.000 0.000 0.000 P
```

## Properties
formation energy (no corrections)	-1762	meV/atom
space-group type	C2/m (12)



5.
VASP calculation (GGA-PBE) on Sm8IrPd2 after structural relaxation.

Structure (POSCAR):
```
Sm8IrPd2
1.0
5.159 0.000 0.000
0.000 6.846 0.350
-2.580 -2.520 8.507
Ir Sm Pd
1 8 2
Cartesian
2.580 0.000 0.000 Ir
2.580 -0.914 8.031 Sm
0.000 1.765 7.212 Sm
0.000 5.240 0.826 Sm
2.580 5.849 3.141 Sm
2.580 3.103 5.296 Sm
2.580 2.561 1.645 Sm
0.000 1.222 3.561 Sm
0.000 -1.523 5.716 Sm
2.580 0.251 5.369 Pd
0.000 4.075 3.487 Pd
```

## Properties
energy above the most stable polymorph in this dataset	0.000	eV per atom
space-group type	C2/m (12)
formation energy	-0.435	eV/atom



6.
VASP calculation (GGA-PBE) on LiCdIN2 after structural relaxation.

Structure (POSCAR):
```
LiCdIN2
1.0
4.352 0.000 0.000
0.000 4.352 0.000
0.000 0.000 6.731
N I Cd Li
2 1 1 1
Cartesian
2.176 0.000 0.000 N
0.000 2.176 0.000 N
0.000 0.000 3.366 I
0.000 0.000 0.000 Cd
2.176 2.176 3.366 Li
```

## Properties
energy above the most stable polymorph in this dataset	0.000	eV per atom
formation energy (no corrections)	1119	meV/atom
space-group type	P4/mmm (123)



| no. | magnetization (μB/atom) |
| --- | --- |
| 1 | 0.000 |
| 2 | 0.000 |
| 3 | 0.000 |
| 4 | 0.000 |
| 5 | 0.000 |
| 6 | 0.707 |